Entry 1:
The following is a DFT calculation (GGA-PBE) of a geometry-optimized AgPN2F structure.

The structure in extended XYZ format:
```
5
Lattice="3.3310 0.0000 0.0000 0.0000 3.3310 0.0000 0.0000 0.0000 5.5107" Properties=species:S:1:pos:R:3 pbc="T T T"
P 0.0000 0.0000 0.0000
N 1.6655 0.0000 0.0000
N 0.0000 1.6655 0.0000
Ag 1.6655 1.6655 2.7553
F 0.0000 0.0000 2.7553
```

## Properties
**Space group**: P4/mmm, No. 123
**D(E_F)**: 0.309 states/eV/atom
**Raw formation energy**: 0.305 eV per atom
**M_tot**: 0.40 μB/cell
**Distance to the lowest polymorph of the same formula**: 0 meV per atom

=====

Entry 2:
The following is a DFT calculation (GGA-PBE) of a geometry-optimized AgPN2F structure.

The structure in extended XYZ format:
```
5
Lattice="-1.7238 3.2386 1.8188 -1.4347 -2.4301 2.9673 3.3657 0.6011 2.1197" Properties=species:S:1:pos:R:3 pbc="T T T"
F 1.6829 0.3005 1.0598
N -0.7174 -1.2150 1.4836
N -0.8619 1.6193 0.9094
Ag 0.0000 0.0000 0.0000
P 0.1036 0.7048 3.4529
```

## Properties
**Space group**: P4/mmm, No. 123
**D(E_F)**: 0.650 states/eV/atom
**Raw formation energy**: 1.745 eV per atom
**M_tot**: 0.00 μB/cell
**Distance to the lowest polymorph of the same formula**: 1441 meV per atom

=====

Entry 3:
The following is a DFT calculation (GGA-PBE) of a geometry-optimized AgPbN2F structure.

The structure in extended XYZ format:
```
5
Lattice="4.3933 0.0000 0.0000 0.0000 4.3933 0.0000 0.0000 0.0000 4.4735" Properties=species:S:1:pos:R:3 pbc="T T T"
Pb 0.0000 0.0000 0.0000
F 0.0000 0.0000 2.2367
N 0.0000 2.1966 0.0000
N 2.1966 0.0000 0.0000
Ag 2.1966 2.1966 2.2367
```

## Properties
**Space group**: P4/mmm, No. 123
**D(E_F)**: 0.377 states/eV/atom
**Raw formation energy**: 0.989 eV per atom
**M_tot**: 2.15 μB/cell
**Distance to the lowest polymorph of the same formula**: 146 meV per atom

=====

Entry 4:
The following is a DFT calculation (GGA-PBE) of a geometry-optimized AgPbN2F structure.

The structure in extended XYZ format:
```
5
Lattice="-0.0727 -3.9470 0.9928 3.3590 0.7826 3.3574 -2.9146 0.7435 2.7427" Properties=species:S:1:pos:R:3 pbc="T T T"
N -1.4573 0.3718 1.3713
N -0.0363 -1.9735 0.4964
F 1.6795 0.3913 1.6787
Pb 0.1859 -1.2104 3.5464
Ag 0.0000 0.0000 0.0000
```

## Properties
**Space group**: P4/mmm, No. 123
**D(E_F)**: 0.318 states/eV/atom
**Raw formation energy**: 0.844 eV per atom
**M_tot**: 2.27 μB/cell
**Distance to the lowest polymorph of the same formula**: 0 meV per atom

=====

Entry 5:
The following is a DFT calculation (GGA-PBE) of a geometry-optimized AgPdNF2 structure.

The structure in extended XYZ format:
```
5
Lattice="-2.7131 -1.8178 3.0180 3.5202 -1.2443 2.4151 -0.1190 3.2179 1.8312" Properties=species:S:1:pos:R:3 pbc="T T T"
Pd 0.0000 0.0000 0.0000
N -0.0595 1.6090 0.9156
F 1.7601 -0.6221 1.2076
F -1.3565 -0.9089 1.5090
Ag 0.3441 0.0779 3.6322
```

## Properties
**Space group**: P4/mmm, No. 123
**D(E_F)**: 0.592 states/eV/atom
**Raw formation energy**: -0.087 eV per atom
**M_tot**: 0.00 μB/cell
**Distance to the lowest polymorph of the same formula**: 0 meV per atom

=====

Entry 6:
The following is a DFT calculation (GGA-PBE) of a geometry-optimized AgPdNF2 structure.

The structure in extended XYZ format:
```
5
Lattice="4.3534 0.0000 0.0000 0.0000 4.3534 0.0000 0.0000 0.0000 4.0474" Properties=species:S:1:pos:R:3 pbc="T T T"
N 0.0000 0.0000 2.0237
F 0.0000 2.1767 0.0000
F 2.1767 0.0000 0.0000
Ag 0.0000 0.0000 0.0000
Pd 2.1767 2.1767 2.0237
```

## Properties
**Space group**: P4/mmm, No. 123
**D(E_F)**: 1.761 states/eV/atom
**Raw formation energy**: 0.503 eV per atom
**M_tot**: 2.52 μB/cell
**Distance to the lowest polymorph of the same formula**: 590 meV per atom